KHg2Br: relaxed, PBE-GGA.

a b c (Å): 4.6012 4.6012 6.6011
angles (deg): 90.00 90.00 90.00
With the nearest neighbours (Å) after each atom.
Fractional coordinates of all 4 atoms:
K 0.0000 0.0000 0.0000  4 Br 3.25
Hg 0.0000 0.5000 0.5000  4 Hg 3.25
Hg 0.5000 0.0000 0.5000  4 Hg 3.25
Br 0.5000 0.5000 0.0000  4 K 3.25

Calculated values
**Energy**: -1.614 eV per atom
**Excess energy over the best structure of this formula in the dataset**: 0.0 meV per atom
**Magnetization**: 0.000 μB/atom
**Formation energy from raw total energies**: -0.77 eV/atom


TmSi2Tc5: relaxed, PBE-GGA.

a b c (Å): 6.6333 6.6333 6.6333
angles (deg): 152.49 109.81 76.95
With the nearest neighbours (Å) after each atom.
Fractional coordinates of all 8 atoms:
Tm 0.0000 0.0000 0.0000  4 Si 3.00, 8 Tc 3.12, 2 Tm 3.15
Si 0.2454 0.7454 0.5000  7 Tc 2.47-2.64
Si 0.7546 0.2546 0.5000  7 Tc 2.47-2.64
Tc 0.1494 0.3559 0.7935  3 Si 2.47-2.51, 2 Tc 2.68
Tc 0.4375 0.6441 0.7935  3 Si 2.47-2.51, 2 Tc 2.68
Tc 0.5000 0.0000 0.5000  2 Si 2.64, 8 Tc 2.68
Tc 0.5625 0.3559 0.2065  3 Si 2.47-2.51, 2 Tc 2.68
Tc 0.8506 0.6441 0.2065  3 Si 2.47-2.51, 2 Tc 2.68

Calculated values
**Energy**: -8.677 eV per atom
**Magnetization**: 0.000 μB/atom
**Formation energy from raw total energies**: -0.28 eV/atom


BaAuN: relaxed, PBE-GGA.

a b c (Å): 4.6537 4.7201 8.1918
angles (deg): 104.79 90.08 118.72
With the nearest neighbours (Å) after each atom.
Fractional coordinates of all 6 atoms:
Ba 0.0899 0.1729 0.2885  2 N 2.74-3.07
Ba 0.9101 0.8271 0.7115  2 N 2.74-3.07
Au 0.3285 0.6614 0.9840  3 Au 2.73-2.74
Au 0.6715 0.3386 0.0160  3 Au 2.73-2.74
N 0.4255 0.8469 0.4663  1 N 1.23
N 0.5745 0.1531 0.5337  1 N 1.23

Calculated values
**Energy**: -5.058 eV per atom
**Magnetization**: 0.000 μB/atom
**Formation energy from raw total energies**: -0.55 eV/atom


Na2Sr3H2: relaxed, PBE-GGA.

a b c (Å): 5.9468 4.1844 9.7404
angles (deg): 90.00 107.73 90.00
With the nearest neighbours (Å) after each atom.
Fractional coordinates of all 7 atoms:
Na 0.2053 0.0000 0.4115  2 Na 3.39-3.40
Na 0.7947 0.0000 0.5885  2 Na 3.39-3.40
Sr 0.0000 0.0000 0.0000  4 H 2.54
Sr 0.3959 0.5000 0.7914  2 H 2.47
Sr 0.6041 0.5000 0.2086  2 H 2.47
H 0.2424 0.5000 0.0000  4 Sr 2.47-2.54
H 0.7576 0.5000 0.0000  4 Sr 2.47-2.54

Calculated values
**Energy**: -2.245 eV per atom
**Magnetization**: 0.096 μB/atom


Ni2AsRh: relaxed, PBE-GGA.

a b c (Å): 4.4214 4.4214 4.4214
angles (deg): 129.28 129.28 74.55
With the nearest neighbours (Å) after each atom.
Fractional coordinates of all 4 atoms:
Ni 0.0000 0.0000 0.0000  4 Ni 2.58, 4 Rh 2.58, 4 As 2.68
Ni 0.7500 0.2500 0.5000  4 As 2.58, 4 Ni 2.58, 4 Rh 2.68
As 0.5000 0.5000 0.0000  8 Ni 2.58-2.68, 4 Rh 2.58
Rh 0.2500 0.7500 0.5000  4 As 2.58, 8 Ni 2.58-2.68

Calculated values
**Energy**: -6.019 eV per atom
**Magnetization**: 0.000 μB/atom
**ΔE_f**: -0.13 eV/atom


DySCl: relaxed, PBE-GGA.

a b c (Å): 7.7734 6.8771 8.4853
angles (deg): 59.71 49.81 70.48
With the nearest neighbours (Å) after each atom.
Fractional coordinates of all 12 atoms:
Dy 0.1691 0.8309 0.2859  4 S 2.70-2.77, 3 Cl 2.77-2.95
Dy 0.5359 0.9641 0.4191  4 S 2.70-2.77, 3 Cl 2.77-2.95
Dy 0.8309 0.1691 0.7141  4 S 2.70-2.77, 3 Cl 2.77-2.95
Dy 0.9641 0.5359 0.0809  4 S 2.70-2.77, 3 Cl 2.77-2.95
S 0.1242 0.8131 0.6362  4 Dy 2.70-2.77
S 0.6138 0.8234 0.1258  4 Dy 2.70-2.77
S 0.8131 0.1242 0.4266  4 Dy 2.70-2.77
S 0.8234 0.6138 0.4369  4 Dy 2.70-2.77
Cl 0.2478 0.3424 0.4751  3 Dy 2.77-2.95
Cl 0.3153 0.7749 0.9076  3 Dy 2.77-2.95
Cl 0.3424 0.2478 0.9347  3 Dy 2.77-2.95
Cl 0.7749 0.3153 0.0022  3 Dy 2.77-2.95

Calculated values
**Energy**: -5.688 eV per atom
**Magnetization**: 0.000 μB/atom
**Formation energy from raw total energies**: -2.16 eV/atom


Sc4SnPt2: relaxed, PBE-GGA.

a b c (Å): 9.7840 9.7840 9.7840
angles (deg): 26.14 26.14 26.14
With the nearest neighbours (Å) after each atom.
Fractional coordinates of all 7 atoms:
Sc 0.1135 0.1135 0.1135  3 Pt 2.90, 3 Sn 2.97
Sc 0.3000 0.3000 0.3000  4 Pt 2.71-2.79
Sc 0.7000 0.7000 0.7000  4 Pt 2.71-2.79
Sc 0.8865 0.8865 0.8865  3 Pt 2.90, 3 Sn 2.97
Sn 0.5000 0.5000 0.5000  2 Pt 2.87, 6 Sc 2.97
Pt 0.3986 0.3986 0.3986  7 Sc 2.71-2.90, 1 Sn 2.87
Pt 0.6014 0.6014 0.6014  7 Sc 2.71-2.90, 1 Sn 2.87

Calculated values
**Energy**: -6.736 eV per atom
**Excess energy over the best structure of this formula in the dataset**: 102.3 meV per atom
**Magnetization**: 0.000 μB/atom
**ΔE_f**: -0.82 eV/atom


PmHo5Mg6: relaxed, PBE-GGA.

a b c (Å): 5.3638 7.5588 8.4848
angles (deg): 90.00 108.37 90.00
With the nearest neighbours (Å) after each atom.
Fractional coordinates of all 12 atoms:
Pm 0.0000 0.0000 0.0000  8 Mg 3.29-3.31
Ho 0.0000 0.5000 0.0000  8 Mg 3.27-3.29
Ho 0.3325 0.0000 0.6641  8 Mg 3.26-3.31
Ho 0.3349 0.5000 0.6688  8 Mg 3.26-3.27
Ho 0.6651 0.5000 0.3312  8 Mg 3.26-3.27
Ho 0.6675 0.0000 0.3359  8 Mg 3.26-3.31
Mg 0.1673 0.2520 0.3360  7 Ho 3.26-3.29, 1 Pm 3.31
Mg 0.1673 0.7480 0.3360  7 Ho 3.26-3.29, 1 Pm 3.31
Mg 0.5000 0.2521 0.0000  6 Ho 3.26-3.31, 2 Pm 3.29
Mg 0.5000 0.7479 0.0000  6 Ho 3.26-3.31, 2 Pm 3.29
Mg 0.8327 0.2520 0.6640  7 Ho 3.26-3.29, 1 Pm 3.31
Mg 0.8327 0.7480 0.6640  7 Ho 3.26-3.29, 1 Pm 3.31

Calculated values
**Energy**: -3.179 eV per atom
**Magnetization**: 0.000 μB/atom
**ΔE_f**: -0.08 eV/atom


CaCo2Au: relaxed, PBE-GGA.

a b c (Å): 5.7205 5.7205 5.7205
angles (deg): 42.27 42.27 42.27
With the nearest neighbours (Å) after each atom.
Fractional coordinates of all 4 atoms:
Ca 0.0000 0.0000 0.0000  7 Co 3.09-3.21, 4 Au 3.13-3.17
Co 0.4711 0.4711 0.4711  3 Co 2.38, 3 Au 2.59
Co 0.8018 0.8018 0.8018  3 Co 2.38, 3 Au 2.61
Au 0.2031 0.2031 0.2031  6 Co 2.59-2.61

Calculated values
**Energy**: -4.907 eV per atom
**Magnetization**: 0.698 μB/atom
**ΔE_f**: -0.03 eV/atom


Pr2TmBi: relaxed, PBE-GGA.

a b c (Å): 12.5764 12.5764 12.5764
angles (deg): 16.41 16.41 16.41
With the nearest neighbours (Å) after each atom.
Fractional coordinates of all 4 atoms:
Pr 0.0882 0.0882 0.0882  1 Bi 3.28, 3 Tm 3.58, 6 Pr 3.59
Pr 0.9118 0.9118 0.9118  1 Bi 3.28, 3 Tm 3.58, 6 Pr 3.59
Tm 0.5000 0.5000 0.5000  6 Pr 3.58, 6 Tm 3.59
Bi 0.0000 0.0000 0.0000  2 Pr 3.28, 6 Bi 3.59

Calculated values
**Energy**: -4.472 eV per atom
**Excess energy over the best structure of this formula in the dataset**: 398.2 meV per atom
**Magnetization**: 0.000 μB/atom
**ΔE_f**: 0.01 eV/atom


Y5Cd4Ir: relaxed, PBE-GGA.

a b c (Å): 3.6336 3.6336 18.9542
angles (deg): 90.00 90.00 90.00
With the nearest neighbours (Å) after each atom.
Fractional coordinates of all 10 atoms:
Y 0.0000 0.0000 0.0000  8 Cd 3.23
Y 0.0000 0.0000 0.2061  8 Cd 3.21-3.23
Y 0.0000 0.0000 0.4160  4 Ir 3.02, 1 Y 3.19, 4 Cd 3.29
Y 0.0000 0.0000 0.5840  4 Ir 3.02, 1 Y 3.19, 4 Cd 3.29
Y 0.0000 0.0000 0.7939  8 Cd 3.21-3.23
Cd 0.5000 0.5000 0.1029  8 Y 3.23
Cd 0.5000 0.5000 0.3076  8 Y 3.21-3.29
Cd 0.5000 0.5000 0.6924  8 Y 3.21-3.29
Cd 0.5000 0.5000 0.8971  8 Y 3.23
Ir 0.5000 0.5000 0.5000  8 Y 3.02

Calculated values
**Energy**: -4.934 eV per atom
**Magnetization**: 0.000 μB/atom
**ΔE_f**: -0.45 eV/atom


CaInHg: relaxed, PBE-GGA.

a b c (Å): 8.0086 8.0086 5.3825
angles (deg): 90.00 90.00 152.20
With the nearest neighbours (Å) after each atom.
Fractional coordinates of all 6 atoms:
Ca 0.0869 0.9131 0.7500  6 Hg 3.22-3.31, 4 In 3.33-3.57
Ca 0.9131 0.0869 0.2500  6 Hg 3.22-3.31, 4 In 3.33-3.57
In 0.2380 0.7620 0.2500  2 Hg 3.13, 4 In 3.33, 2 Ca 3.33
In 0.7620 0.2380 0.7500  2 Hg 3.13, 4 In 3.33, 2 Ca 3.33
Hg 0.4206 0.5794 0.7500  2 In 3.13, 6 Ca 3.22-3.31
Hg 0.5794 0.4206 0.2500  2 In 3.13, 6 Ca 3.22-3.31

Calculated values
**Energy**: -2.080 eV per atom
**Magnetization**: 0.000 μB/atom
**ΔE_f**: -0.40 eV/atom


Pm2Fe3C2: relaxed, PBE-GGA.

a b c (Å): 5.2751 5.2751 6.6991
angles (deg): 117.93 117.93 37.65
With the nearest neighbours (Å) after each atom.
Fractional coordinates of all 7 atoms:
Pm 0.1252 0.1252 0.2749  4 C 2.75-3.04, 5 Fe 2.91-3.03
Pm 0.8748 0.8748 0.7251  4 C 2.75-3.04, 5 Fe 2.91-3.03
Fe 0.3368 0.3368 0.0939  3 C 1.98-2.09
Fe 0.5000 0.5000 0.5000  4 C 2.37, 2 Fe 2.38
Fe 0.6632 0.6632 0.9061  3 C 1.98-2.09
C 0.1584 0.1584 0.7519  3 Fe 1.98-2.09
C 0.8416 0.8416 0.2481  3 Fe 1.98-2.09

Calculated values
**Energy**: -7.472 eV per atom
**Magnetization**: 0.574 μB/atom
**ΔE_f**: 0.15 eV/atom


CaMgAu2: relaxed, PBE-GGA.

a b c (Å): 7.2475 7.2475 7.2475
angles (deg): 32.75 32.75 32.75
With the nearest neighbours (Å) after each atom.
Fractional coordinates of all 4 atoms:
Ca 0.0000 0.0000 0.0000  6 Au 3.04-3.10
Mg 0.1720 0.1720 0.1720  6 Au 2.74-2.81
Au 0.4315 0.4315 0.4315  3 Mg 2.81, 1 Au 2.92, 3 Ca 3.10
Au 0.5734 0.5734 0.5734  3 Mg 2.74, 1 Au 2.92, 3 Ca 3.04

Calculated values
**Energy**: -3.083 eV per atom
**Magnetization**: 0.000 μB/atom
**ΔE_f**: -0.55 eV/atom


AcY2ScS6: relaxed, PBE-GGA.

a b c (Å): 7.3643 7.3643 7.3643
angles (deg): 56.56 56.56 56.56
With the nearest neighbours (Å) after each atom.
Fractional coordinates of all 10 atoms:
Ac 0.0000 0.0000 0.0000  6 S 2.91-3.09
Y 0.2796 0.2796 0.2796  6 S 2.73-2.78
Y 0.7911 0.7911 0.7911  6 S 2.69-2.78
Sc 0.4804 0.4804 0.4804  6 S 2.63-2.64
S 0.0849 0.6441 0.4282  1 Sc 2.63, 2 Y 2.69-2.78, 1 Ac 2.91
S 0.2054 0.5747 0.8681  1 Sc 2.64, 2 Y 2.73-2.78
S 0.4282 0.0849 0.6441  1 Sc 2.63, 2 Y 2.69-2.78, 1 Ac 2.91
S 0.5747 0.8681 0.2054  1 Sc 2.64, 2 Y 2.73-2.78
S 0.6441 0.4282 0.0849  1 Sc 2.63, 2 Y 2.69-2.78, 1 Ac 2.91
S 0.8681 0.2054 0.5747  1 Sc 2.64, 2 Y 2.73-2.78

Calculated values
**Energy**: -6.821 eV per atom
**Magnetization**: 0.000 μB/atom
**Formation energy from raw total energies**: -2.01 eV/atom


Zn2GaGe: relaxed, PBE-GGA.

a b c (Å): 5.1263 5.1263 5.1263
angles (deg): 49.67 49.67 49.67
With the nearest neighbours (Å) after each atom.
Fractional coordinates of all 4 atoms:
Zn 0.2492 0.2492 0.2492  3 Ga 2.72, 3 Ge 2.73
Zn 0.7508 0.7508 0.7508  3 Ga 2.72, 3 Ge 2.73
Ga 0.5000 0.5000 0.5000  6 Zn 2.72
Ge 0.0000 0.0000 0.0000  6 Zn 2.73

Calculated values
**Energy**: -2.387 eV per atom
**Excess energy over the best structure of this formula in the dataset**: 35.8 meV per atom
**Magnetization**: 0.000 μB/atom
**ΔE_f**: 0.16 eV/atom


CaGe4Pt12: relaxed, PBE-GGA.

a b c (Å): 7.4305 7.4305 7.4305
angles (deg): 109.47 109.47 109.47
With the nearest neighbours (Å) after each atom.
Fractional coordinates of all 17 atoms:
Ca 0.0000 0.0000 0.0000  12 Pt 3.26
Ge 0.0000 0.0000 0.5000  6 Pt 2.43
Ge 0.0000 0.5000 0.0000  6 Pt 2.43
Ge 0.5000 0.0000 0.0000  6 Pt 2.43
Ge 0.5000 0.5000 0.5000  6 Pt 2.43
Pt 0.1568 0.5028 0.3460  2 Ge 2.43, 2 Pt 2.64-2.69
Pt 0.1568 0.8108 0.6540  2 Ge 2.43, 2 Pt 2.64-2.69
Pt 0.1892 0.3460 0.8432  2 Ge 2.43, 2 Pt 2.64-2.69
Pt 0.3460 0.1568 0.5028  2 Ge 2.43, 2 Pt 2.64-2.69
Pt 0.3460 0.8432 0.1892  2 Ge 2.43, 2 Pt 2.64-2.69
Pt 0.4972 0.6540 0.8432  2 Ge 2.43, 2 Pt 2.64-2.69
Pt 0.5028 0.3460 0.1568  2 Ge 2.43, 2 Pt 2.64-2.69
Pt 0.6540 0.1568 0.8108  2 Ge 2.43, 2 Pt 2.64-2.69
Pt 0.6540 0.8432 0.4972  2 Ge 2.43, 2 Pt 2.64-2.69
Pt 0.8108 0.6540 0.1568  2 Ge 2.43, 2 Pt 2.64-2.69
Pt 0.8432 0.1892 0.3460  2 Ge 2.43, 2 Pt 2.64-2.69
Pt 0.8432 0.4972 0.6540  2 Ge 2.43, 2 Pt 2.64-2.69

Calculated values
**Energy**: -5.640 eV per atom
**Magnetization**: 0.000 μB/atom
**ΔE_f**: -0.17 eV/atom


Mg2TeP: relaxed, PBE-GGA.

a b c (Å): 3.6846 3.6846 6.2832
angles (deg): 90.00 90.00 90.00
With the nearest neighbours (Å) after each atom.
Fractional coordinates of all 4 atoms:
Mg 0.0000 0.0000 0.2241  1 Mg 2.82, 4 P 2.96, 4 Te 3.13
Mg 0.0000 0.0000 0.7759  1 Mg 2.82, 4 P 2.96, 4 Te 3.13
Te 0.5000 0.5000 0.5000  8 Mg 3.13, 2 P 3.14
P 0.5000 0.5000 0.0000  8 Mg 2.96, 2 Te 3.14

Calculated values
**Energy**: -3.113 eV per atom
**Excess energy over the best structure of this formula in the dataset**: 343.9 meV per atom
**Magnetization**: 0.000 μB/atom
**Formation energy from raw total energies**: -0.18 eV/atom